# 1
Material: SrSb2Cl
Method: DFT, PBE
State: optimized geometry

Summary:
offset from the most stable computed form	0.423	eV per atom
ΔE_f (raw)	-2.457	eV/f.u.

a = 6.823 Å, b = 6.823 Å, c = 3.502 Å
α = 90.00°, β = 90.00°, γ = 130.15°
Positions (direct):
1 Sb 0.000 0.000 0.000
2 Sb 0.500 0.500 0.000
3 Cl 0.000 0.500 0.500
4 Sr 0.500 0.000 0.500


# 2
Material: YCd
Method: DFT, PBE
State: optimized geometry

Summary:
ΔE_f	-0.17	eV per atom

a = 8.753 Å, b = 8.753 Å, c = 5.014 Å
α = 90.00°, β = 90.00°, γ = 120.00°
Positions (direct):
1 Cd 0.114 0.536 0.250
2 Cd 0.886 0.464 0.750
3 Cd 0.536 0.422 0.750
4 Cd 0.578 0.114 0.750
5 Cd 0.464 0.578 0.250
6 Cd 0.422 0.886 0.250
7 Y 0.139 0.313 0.750
8 Y 0.174 0.861 0.750
9 Y 0.826 0.139 0.250
10 Y 0.687 0.826 0.750
11 Y 0.861 0.687 0.250
12 Y 0.313 0.174 0.250


# 3
Material: FePbSCl2
Method: DFT, PBE
State: optimized geometry

Summary:
offset from the most stable computed form	0.849	eV per atom
ΔE_f (raw)	2.125	eV/f.u.

a = 5.272 Å, b = 5.272 Å, c = 5.162 Å
α = 90.00°, β = 90.00°, γ = 90.00°
Last column: magnetic moment on the atom in μB.
Positions (direct):
1 Fe 0.500 0.500 0.500  3.41
2 S 0.000 0.000 0.500  -0.02
3 Cl 0.000 0.500 0.000  0.01
4 Cl 0.500 0.000 0.000  0.01
5 Pb 0.000 0.000 0.000  0.00


# 4
Material: SrInSn3
Method: DFT, PBE
State: optimized geometry

Summary:
ΔE_f	0.74	eV per atom
offset from the most stable computed form	0.991	eV per atom

a = 6.029 Å, b = 6.029 Å, c = 6.029 Å
α = 90.00°, β = 90.00°, γ = 90.00°
Last column: magnetic moment on the atom in μB.
Positions (direct):
1 In 0.500 0.500 0.500  -0.01
2 Sn 0.000 0.500 0.000  0.11
3 Sn 0.500 0.000 0.000  0.10
4 Sn 0.000 0.000 0.500  0.06
5 Sr 0.000 0.000 0.000  0.11


# 5
Material: LaBeTlMo2
Method: DFT, PBE
State: optimized geometry

Summary:
ΔE_f	2.25	eV per atom

a = 5.080 Å, b = 5.739 Å, c = 5.080 Å
α = 90.00°, β = 90.00°, γ = 90.00°
Positions (direct):
1 Mo 0.000 0.000 0.500
2 Mo 0.500 0.000 0.000
3 Be 0.500 0.500 0.500
4 La 0.000 0.500 0.000
5 Tl 0.000 0.000 0.000


# 6
Material: TbZn2Ru2C
Method: DFT, PBE
State: optimized geometry

Summary:
ΔE_f	-0.27	eV per atom

a = 4.102 Å, b = 4.102 Å, c = 5.476 Å
α = 90.00°, β = 90.00°, γ = 90.00°
Positions (direct):
1 Zn 0.500 0.500 0.283
2 Zn 0.500 0.500 0.717
3 Tb 0.000 0.000 0.500
4 Ru 0.000 0.500 0.000
5 Ru 0.500 0.000 0.000
6 C 0.000 0.000 0.000


# 7
Material: AlCo2Re2
Method: DFT, PBE
State: optimized geometry

Summary:
ΔE_f	0.16	eV per atom

a = 7.100 Å, b = 7.100 Å, c = 2.675 Å
α = 90.00°, β = 90.00°, γ = 90.00°
Positions (direct):
1 Co 0.882 0.618 0.000
2 Co 0.382 0.882 0.000
3 Co 0.118 0.382 0.000
4 Co 0.618 0.118 0.000
5 Al 0.500 0.500 0.000
6 Al 0.000 0.000 0.000
7 Re 0.824 0.324 0.500
8 Re 0.324 0.176 0.500
9 Re 0.176 0.676 0.500
10 Re 0.676 0.824 0.500


# 8
Material: CaReTc2
Method: DFT, PBE
State: optimized geometry

Summary:
ΔE_f	0.50	eV per atom
offset from the most stable computed form	0.113	eV per atom

a = 5.454 Å, b = 5.454 Å, c = 5.454 Å
α = 147.37°, β = 128.76°, γ = 62.08°
Positions (direct):
1 Tc 0.773 0.273 0.500
2 Tc 0.002 0.002 0.000
3 Re 0.225 0.725 0.500
4 Ca 0.500 0.500 0.000


# 9
Material: LiPSe
Method: DFT, PBE
State: optimized geometry

Summary:
offset from the most stable computed form	0.050	eV per atom
ΔE_f (raw)	-1.523	eV/f.u.

a = 4.095 Å, b = 5.315 Å, c = 5.647 Å
α = 84.52°, β = 89.51°, γ = 89.50°
Positions (direct):
1 P 0.799 0.371 0.529
2 P 0.201 0.629 0.471
3 Li 0.693 0.706 0.109
4 Li 0.307 0.294 0.891
5 Se 0.810 0.195 0.181
6 Se 0.190 0.805 0.819


# 10
Material: Sm8InNi2
Method: DFT, PBE
State: optimized geometry

Summary:
ΔE_f	-0.14	eV per atom

a = 5.458 Å, b = 8.111 Å, c = 8.111 Å
α = 115.11°, β = 97.67°, γ = 97.67°
Positions (direct):
1 Sm 0.196 0.398 0.398
2 Sm 0.432 0.673 0.926
3 Sm 0.000 0.755 0.252
4 Sm 0.432 0.926 0.673
5 Sm 0.568 0.334 0.081
6 Sm 0.804 0.608 0.608
7 Sm 0.568 0.081 0.334
8 Sm 0.000 0.252 0.755
9 Ni 0.500 0.304 0.702
10 Ni 0.500 0.702 0.304
11 In 0.000 0.003 0.003


# 11
Material: LaGdYPu
Method: DFT, PBE
State: optimized geometry

Summary:
ΔE_f	0.20	eV per atom

a = 5.684 Å, b = 5.684 Å, c = 5.684 Å
α = 60.00°, β = 60.00°, γ = 60.00°
Last column: magnetic moment on the atom in μB.
Positions (direct):
1 Y 0.250 0.250 0.250  0.20
2 La 0.000 0.000 0.000  0.25
3 Pu 0.750 0.750 0.750  5.63
4 Gd 0.500 0.500 0.500  7.37


# 12
Material: KBeO2
Method: DFT, PBE
State: optimized geometry

Summary:
ΔE_f (raw)	-7.127	eV/f.u.

a = 4.675 Å, b = 4.675 Å, c = 5.586 Å
α = 65.26°, β = 65.26°, γ = 90.00°
Positions (direct):
1 O 0.875 0.625 0.750
2 O 0.375 0.625 0.750
3 O 0.375 0.625 0.250
4 O 0.375 0.125 0.250
5 K 0.000 0.000 0.000
6 K 0.750 0.250 0.500
7 Be 0.500 0.500 0.000
8 Be 0.250 0.750 0.500


# 13
Material: AcLaBiO6
Method: DFT, PBE
State: optimized geometry

Summary:
ΔE_f (raw)	-18.717	eV/f.u.

a = 6.204 Å, b = 6.204 Å, c = 9.371 Å
α = 90.00°, β = 90.00°, γ = 120.00°
Last column: magnetic moment on the atom in μB.
Positions (direct):
1 Bi 0.333 0.667 0.750  -0.02
2 Bi 0.667 0.333 0.250  -0.02
3 O 0.047 0.364 0.629  0.15
4 O 0.683 0.636 0.129  0.15
5 O 0.364 0.317 0.371  0.15
6 O 0.317 0.364 0.871  0.15
7 O 0.317 0.953 0.629  0.15
8 O 0.683 0.047 0.371  0.15
9 O 0.636 0.683 0.629  0.15
10 O 0.953 0.636 0.371  0.15
11 O 0.953 0.317 0.129  0.15
12 O 0.047 0.683 0.871  0.15
13 O 0.636 0.953 0.871  0.15
14 O 0.364 0.047 0.129  0.15
15 La 0.000 0.000 0.500  -0.01
16 La 0.000 0.000 0.000  -0.01
17 Ac 0.667 0.333 0.750  -0.01
18 Ac 0.333 0.667 0.250  -0.01


# 14
Material: Ag5PdBr8
Method: DFT, PBE
State: optimized geometry

Summary:
offset from the most stable computed form	0.000	eV per atom
ΔE_f (raw)	-3.637	eV/f.u.

a = 8.354 Å, b = 8.354 Å, c = 8.354 Å
α = 102.67°, β = 102.67°, γ = 124.16°
Positions (direct):
1 Ag 0.687 0.619 0.462
2 Ag 0.157 0.225 0.538
3 Ag 0.381 0.843 0.067
4 Ag 0.775 0.313 0.933
5 Ag 0.500 0.500 0.000
6 Br 0.525 0.879 0.795
7 Br 0.107 0.394 0.838
8 Br 0.556 0.268 0.162
9 Br 0.269 0.475 0.354
10 Br 0.121 0.915 0.646
11 Br 0.085 0.731 0.205
12 Br 0.732 0.893 0.287
13 Br 0.606 0.444 0.713
14 Pd 0.250 0.750 0.500


# 15
Material: SmDy2ZrN4
Method: DFT, PBE
State: optimized geometry

Summary:
ΔE_f (raw)	-13.213	eV/f.u.

a = 3.433 Å, b = 5.969 Å, c = 5.945 Å
α = 109.24°, β = 90.00°, γ = 90.00°
Positions (direct):
1 Zr 0.000 0.000 0.000
2 Dy 0.500 0.000 0.500
3 Dy 0.000 0.500 0.500
4 N 0.500 0.766 0.760
5 N 0.000 0.236 0.753
6 N 0.500 0.234 0.240
7 N 0.000 0.764 0.247
8 Sm 0.500 0.500 0.000


# 16
Material: Tb5Cu4Pt
Method: DFT, PBE
State: optimized geometry

Summary:
ΔE_f	-0.43	eV per atom

a = 3.478 Å, b = 3.478 Å, c = 17.636 Å
α = 90.00°, β = 90.00°, γ = 90.00°
Positions (direct):
1 Tb 0.500 0.500 0.300
2 Tb 0.500 0.500 0.500
3 Tb 0.500 0.500 0.901
4 Tb 0.500 0.500 0.700
5 Tb 0.500 0.500 0.099
6 Cu 0.000 0.000 0.401
7 Cu 0.000 0.000 0.203
8 Cu 0.000 0.000 0.599
9 Cu 0.000 0.000 0.797
10 Pt 0.000 0.000 0.000


# 17
Material: Ca2TmGa3Pd4
Method: DFT, PBE
State: optimized geometry

Summary:
ΔE_f	-0.75	eV per atom

a = 4.286 Å, b = 4.286 Å, c = 11.214 Å
α = 90.00°, β = 90.00°, γ = 90.00°
Positions (direct):
1 Ca 0.000 0.500 0.771
2 Ca 0.500 0.000 0.229
3 Pd 0.000 0.000 0.000
4 Pd 0.500 0.500 0.000
5 Pd 0.000 0.500 0.346
6 Pd 0.500 0.000 0.654
7 Ga 0.000 0.000 0.500
8 Ga 0.000 0.500 0.123
9 Ga 0.500 0.000 0.877
10 Tm 0.500 0.500 0.500


# 18
Material: Ta3Mo7
Method: DFT, PBE
State: optimized geometry

Summary:
ΔE_f	-0.16	eV per atom

a = 4.532 Å, b = 5.541 Å, c = 7.167 Å
α = 104.94°, β = 108.43°, γ = 90.00°
Positions (direct):
1 Mo 0.800 0.697 0.600
2 Mo 0.401 0.103 0.803
3 Mo 0.599 0.897 0.197
4 Mo 0.200 0.303 0.400
5 Mo 0.400 0.600 0.799
6 Mo 0.600 0.400 0.201
7 Mo 0.000 0.500 0.000
8 Ta 0.000 0.000 0.000
9 Ta 0.199 0.802 0.399
10 Ta 0.801 0.198 0.601


# 19
Material: DyPu3Hg4
Method: DFT, PBE
State: optimized geometry

Summary:
ΔE_f	-0.19	eV per atom

a = 3.349 Å, b = 3.349 Å, c = 18.080 Å
α = 90.00°, β = 90.00°, γ = 90.00°
Last column: magnetic moment on the atom in μB.
Positions (direct):
1 Dy 0.500 0.500 0.000  0.16
2 Hg 0.000 0.000 0.882  0.00
3 Hg 0.000 0.000 0.118  0.00
4 Hg 0.000 0.000 0.627  0.00
5 Hg 0.000 0.000 0.373  0.00
6 Pu 0.500 0.500 0.754  -5.58
7 Pu 0.500 0.500 0.246  -5.58
8 Pu 0.500 0.500 0.500  5.59


# 20
Material: UFeCoRu
Method: DFT, PBE
State: optimized geometry

Summary:
ΔE_f	0.05	eV per atom
offset from the most stable computed form	0.257	eV per atom

a = 4.416 Å, b = 4.416 Å, c = 4.416 Å
α = 60.00°, β = 60.00°, γ = 60.00°
Last column: magnetic moment on the atom in μB.
Positions (direct):
1 Co 0.250 0.250 0.250  0.60
2 Ru 0.750 0.750 0.750  0.41
3 Fe 0.000 0.000 0.000  2.70
4 U 0.500 0.500 0.500  -1.72